{
  "formula": "Ho3GaAu",
  "functional": "PBE",
  "state": "relaxed",
  "e_form_ev_per_atom": -0.530,
  "cell": [[6.293, -2.082, 0.000], [6.293, 2.082, 0.000], [-1.548, 0.000, 9.789]],
  "species": ["Ho", "Ho", "Ho", "Ho", "Ho", "Ho", "Ga", "Ga", "Au", "Au"],
  "frac_coords": [[0.072, 0.072, 0.365], [0.351, 0.351, 0.285], [0.355, 0.355, 0.903], [0.645, 0.645, 0.097], [0.649, 0.649, 0.715], [0.928, 0.928, 0.635], [0.261, 0.261, 0.585], [0.739, 0.739, 0.415], [0.072, 0.072, 0.896], [0.928, 0.928, 0.104]]
}


{
  "formula": "LiFe2As",
  "functional": "PBE",
  "state": "relaxed",
  "e_form_ev_per_atom": 0.058,
  "cell": [[2.651, 0.000, 0.000], [0.000, 4.261, 0.000], [-0.261, 0.000, 4.610]],
  "species": ["Li", "Fe", "Fe", "As"],
  "frac_coords": [[0.000, 0.000, 0.000], [0.304, 0.500, 0.756], [0.696, 0.500, 0.244], [0.500, 0.000, 0.500]]
}


{
  "formula": "KTePb2Se4",
  "functional": "PBE",
  "state": "relaxed",
  "cell": [[6.111, -6.084, 0.000], [6.111, 6.084, 0.000], [-5.690, 0.000, 6.518]],
  "species": ["K", "K", "Te", "Te", "Pb", "Pb", "Pb", "Pb", "Se", "Se", "Se", "Se", "Se", "Se", "Se", "Se"],
  "frac_coords": [[0.000, 0.000, 0.000], [0.000, 0.000, 0.500], [0.000, 0.500, 0.000], [0.500, 0.000, 0.500], [0.000, 0.500, 0.500], [0.500, 0.000, 0.000], [0.500, 0.500, 0.000], [0.500, 0.500, 0.500], [0.220, 0.713, 0.965], [0.252, 0.279, 0.025], [0.279, 0.252, 0.525], [0.287, 0.780, 0.535], [0.713, 0.220, 0.465], [0.721, 0.748, 0.475], [0.748, 0.721, 0.975], [0.780, 0.287, 0.035]]
}


{
  "formula": "La2Pm3ThP6",
  "functional": "PBE",
  "state": "relaxed",
  "e_form_ev_per_atom": -1.585,
  "cell": [[9.099, -2.090, 0.000], [9.099, 2.090, 0.000], [-1.897, 0.000, 8.144]],
  "species": ["La", "La", "Pm", "Pm", "Pm", "Th", "P", "P", "P", "P", "P", "P"],
  "frac_coords": [[0.167, 0.167, 0.335], [0.833, 0.833, 0.665], [0.167, 0.167, 0.833], [0.500, 0.500, 0.500], [0.833, 0.833, 0.167], [0.500, 0.500, 0.000], [0.002, 0.002, 0.754], [0.335, 0.335, 0.413], [0.335, 0.335, 0.922], [0.665, 0.665, 0.078], [0.665, 0.665, 0.587], [0.998, 0.998, 0.246]]
}


{
  "formula": "Li2ZrPd5",
  "functional": "PBE",
  "state": "relaxed",
  "polymorph_energy_mev_per_atom": 0,
  "e_form_ev_per_atom": -0.604,
  "cell": [[4.137, 0.000, 0.000], [0.000, 4.137, 0.000], [0.000, 0.000, 13.945]],
  "species": ["Li", "Li", "Li", "Li", "Zr", "Zr", "Pd", "Pd", "Pd", "Pd", "Pd", "Pd", "Pd", "Pd", "Pd", "Pd"],
  "frac_coords": [[0.000, 0.000, 0.250], [0.000, 0.000, 0.750], [0.500, 0.500, 0.250], [0.500, 0.500, 0.750], [0.000, 0.000, 0.000], [0.500, 0.500, 0.500], [0.000, 0.000, 0.500], [0.000, 0.500, 0.137], [0.000, 0.500, 0.363], [0.000, 0.500, 0.637], [0.000, 0.500, 0.863], [0.500, 0.000, 0.137], [0.500, 0.000, 0.363], [0.500, 0.000, 0.637], [0.500, 0.000, 0.863], [0.500, 0.500, 0.000]]
}


{
  "formula": "Ce2NdHoTl4",
  "functional": "PBE",
  "state": "relaxed",
  "e_form_ev_per_atom": -0.281,
  "cell": [[2.738, 1.581, 8.967], [-2.738, 1.581, 8.967], [0.000, -3.162, 8.967]],
  "species": ["Ce", "Ce", "Nd", "Ho", "Tl", "Tl", "Tl", "Tl"],
  "frac_coords": [[0.249, 0.249, 0.249], [0.751, 0.751, 0.751], [0.000, 0.000, 0.000], [0.500, 0.500, 0.500], [0.126, 0.126, 0.126], [0.376, 0.376, 0.376], [0.624, 0.624, 0.624], [0.874, 0.874, 0.874]]
}


{
  "formula": "Ho2PdPt2",
  "functional": "PBE",
  "state": "relaxed",
  "e_form_ev_per_atom": -1.096,
  "cell": [[7.501, 0.000, 0.000], [0.000, 7.501, 0.000], [0.000, 0.000, 7.397]],
  "species": ["Ho", "Ho", "Ho", "Ho", "Ho", "Ho", "Ho", "Ho", "Pd", "Pd", "Pd", "Pd", "Pt", "Pt", "Pt", "Pt", "Pt", "Pt", "Pt", "Pt"],
  "frac_coords": [[0.172, 0.328, 0.000], [0.172, 0.328, 0.500], [0.328, 0.828, 0.000], [0.328, 0.828, 0.500], [0.672, 0.172, 0.000], [0.672, 0.172, 0.500], [0.828, 0.672, 0.000], [0.828, 0.672, 0.500], [0.000, 0.000, 0.249], [0.000, 0.000, 0.751], [0.500, 0.500, 0.251], [0.500, 0.500, 0.749], [0.131, 0.631, 0.250], [0.131, 0.631, 0.750], [0.369, 0.131, 0.250], [0.369, 0.131, 0.750], [0.631, 0.869, 0.250], [0.631, 0.869, 0.750], [0.869, 0.369, 0.250], [0.869, 0.369, 0.750]]
}


{
  "formula": "PuScGa2Au4",
  "functional": "PBE",
  "state": "relaxed",
  "e_form_ev_per_atom": -0.487,
  "cell": [[2.359, 1.362, 8.191], [-2.359, 1.362, 8.191], [0.000, -2.724, 8.191]],
  "species": ["Pu", "Sc", "Ga", "Ga", "Au", "Au", "Au", "Au"],
  "frac_coords": [[0.000, 0.000, 0.000], [0.500, 0.500, 0.500], [0.250, 0.250, 0.250], [0.750, 0.750, 0.750], [0.134, 0.134, 0.134], [0.387, 0.387, 0.387], [0.613, 0.613, 0.613], [0.866, 0.866, 0.866]]
}


Here are the calculated total energy numbers, same order: -4.537, -5.814, -3.652, -6.917, -5.397, -4.116, -6.382, -5.465 (eV/atom).
Here are the calculated calculated volume numbers, same order: 128, 52, 242, 310, 119, 233, 104, 158 (Å³/f.u.).